one:
Compound: CoAgW2
Source: the Alexandria database
Functional: PBE
Structure: optimized geometry

Lattice parameters (Å, degrees): 2.7792 2.7792 27.5477 90.00 90.00 120.00
Closest atoms and distances in Å follow each position.
Positions (direct):
Co 0.0000 0.0000 0.0000  3 W 2.53, 6 Co 2.78, 3 Ag 2.78
Co 0.3333 0.6667 0.6667  3 W 2.53, 6 Co 2.78, 3 Ag 2.78
Co 0.6667 0.3333 0.3333  3 W 2.53, 6 Co 2.78, 3 Ag 2.78
Ag 0.0000 0.0000 0.2508  6 Ag 2.78, 3 Co 2.78, 3 W 2.97
Ag 0.3333 0.6667 0.9174  6 Ag 2.78, 3 Co 2.78, 3 W 2.97
Ag 0.6667 0.3333 0.5841  6 Ag 2.78, 3 Co 2.78, 3 W 2.97
W 0.0000 0.0000 0.4934  9 W 2.78-2.93, 3 Ag 2.97
W 0.0000 0.0000 0.7378  3 Co 2.53, 6 W 2.78
W 0.3333 0.6667 0.1601  9 W 2.78-2.93, 3 Ag 2.97
W 0.3333 0.6667 0.4045  3 Co 2.53, 6 W 2.78
W 0.6667 0.3333 0.0711  3 Co 2.53, 6 W 2.78
W 0.6667 0.3333 0.8268  9 W 2.78-2.93, 3 Ag 2.97

magnetization = 0.0 Bohr magnetons per cell
Fermi-level density of states = 2.47 states/eV/f.u.

---

two:
Compound: CoAgW2
Source: the Alexandria database
Functional: PBE
Structure: optimized geometry

Lattice parameters (Å, degrees): 3.7990 3.7990 4.1422 90.00 90.00 90.00
Closest atoms and distances in Å follow each position.
Positions (direct):
Co 0.0000 0.0000 0.0000  4 Ag 2.69, 8 W 2.81
Ag 0.5000 0.5000 0.0000  4 Co 2.69, 8 W 2.81
W 0.0000 0.5000 0.5000  4 W 2.69, 4 Co 2.81, 4 Ag 2.81
W 0.5000 0.0000 0.5000  4 W 2.69, 4 Co 2.81, 4 Ag 2.81

magnetization = 1.1 Bohr magnetons per cell
Fermi-level density of states = 2.82 states/eV/f.u.

---

Pick one: it beats the second-best structure by 93 meV/atom.

---

one:
Compound: CoAgW2
Source: the Alexandria database
Functional: PBE
Structure: optimized geometry

Lattice parameters (Å, degrees): 7.0780 7.0780 5.1557 90.00 90.00 90.00
Closest atoms and distances in Å follow each position.
Positions (direct):
Co 0.0000 0.0000 0.0000  4 W 2.36, 2 Ag 2.58
Co 0.0000 0.5000 0.2500  4 W 2.36, 2 Ag 2.58
Co 0.5000 0.0000 0.7500  4 W 2.36, 2 Ag 2.58
Co 0.5000 0.5000 0.5000  4 W 2.36, 2 Ag 2.58
Ag 0.0000 0.0000 0.5000  2 Co 2.58, 4 W 2.83
Ag 0.0000 0.5000 0.7500  2 Co 2.58, 4 W 2.83
Ag 0.5000 0.0000 0.2500  2 Co 2.58, 4 W 2.83
Ag 0.5000 0.5000 0.0000  2 Co 2.58, 4 W 2.83
W 0.2014 0.2500 0.1250  2 Co 2.36
W 0.2500 0.7014 0.3750  2 Co 2.36
W 0.2500 0.7986 0.8750  2 Co 2.36
W 0.2986 0.2500 0.6250  2 Co 2.36
W 0.7014 0.7500 0.6250  2 Co 2.36
W 0.7500 0.2014 0.8750  2 Co 2.36
W 0.7500 0.2986 0.3750  2 Co 2.36
W 0.7986 0.7500 0.1250  2 Co 2.36

magnetization = 0.0 Bohr magnetons per cell
Fermi-level density of states = 2.19 states/eV/f.u.

---

two:
Compound: CoAgW2
Source: the Alexandria database
Functional: PBE
Structure: optimized geometry

Lattice parameters (Å, degrees): 6.2551 6.2551 6.2551 90.00 90.00 90.00
Closest atoms and distances in Å follow each position.
Positions (direct):
Co 0.0000 0.0000 0.0000  4 W 2.71, 4 Ag 2.71
Co 0.0000 0.5000 0.5000  4 W 2.71, 4 Ag 2.71
Co 0.5000 0.0000 0.5000  4 W 2.71, 4 Ag 2.71
Co 0.5000 0.5000 0.0000  4 W 2.71, 4 Ag 2.71
Ag 0.2500 0.2500 0.7500  4 W 2.71, 4 Co 2.71
Ag 0.2500 0.7500 0.2500  4 W 2.71, 4 Co 2.71
Ag 0.7500 0.2500 0.2500  4 W 2.71, 4 Co 2.71
Ag 0.7500 0.7500 0.7500  4 W 2.71, 4 Co 2.71
W 0.0000 0.0000 0.5000  4 W 2.71, 4 Ag 2.71
W 0.0000 0.5000 0.0000  4 W 2.71, 4 Ag 2.71
W 0.2500 0.2500 0.2500  4 W 2.71, 4 Co 2.71
W 0.2500 0.7500 0.7500  4 W 2.71, 4 Co 2.71
W 0.5000 0.0000 0.0000  4 W 2.71, 4 Ag 2.71
W 0.5000 0.5000 0.5000  4 W 2.71, 4 Ag 2.71
W 0.7500 0.2500 0.7500  4 W 2.71, 4 Co 2.71
W 0.7500 0.7500 0.2500  4 W 2.71, 4 Co 2.71

magnetization = 5.0 Bohr magnetons per cell
Fermi-level density of states = 4.98 states/eV/f.u.

---

three:
Compound: CoAgW2
Source: the Alexandria database
Functional: PBE
Structure: optimized geometry

Lattice parameters (Å, degrees): 5.3760 8.2130 2.7026 90.00 90.23 90.00
Closest atoms and distances in Å follow each position.
Positions (direct):
Co 0.0000 0.0000 0.0000  2 Ag 2.69, 2 Co 2.70, 8 W 2.80
Co 0.5000 0.5000 0.0000  2 Ag 2.69, 2 Co 2.70, 8 W 2.80
Ag 0.0000 0.5000 0.0000  2 Co 2.69, 2 Ag 2.70, 8 W 2.80
Ag 0.5000 0.0000 0.0000  2 Co 2.69, 2 Ag 2.70, 8 W 2.80
W 0.2500 0.2500 0.5000  4 W 2.69-2.70, 4 Co 2.80, 4 Ag 2.80
W 0.2500 0.7500 0.5000  4 W 2.69-2.70, 4 Co 2.80, 4 Ag 2.80
W 0.7500 0.2500 0.5000  4 W 2.69-2.70, 4 Ag 2.80, 4 Co 2.80
W 0.7500 0.7500 0.5000  4 W 2.69-2.70, 4 Co 2.80, 4 Ag 2.80

magnetization = 0.5 Bohr magnetons per cell
Fermi-level density of states = 4.49 states/eV/f.u.

---

Pick three: it beats the second-best structure by 118 meV/atom.

---

one:
Compound: CoAgW2
Source: the Alexandria database
Functional: PBE
Structure: optimized geometry

Lattice parameters (Å, degrees): 6.2428 6.2428 6.2428 90.00 90.00 90.00
Closest atoms and distances in Å follow each position.
Positions (direct):
Co 0.0000 0.0000 0.0000  8 W 2.70
Co 0.0000 0.5000 0.5000  8 W 2.70
Co 0.5000 0.0000 0.5000  8 W 2.70
Co 0.5000 0.5000 0.0000  8 W 2.70
Ag 0.0000 0.0000 0.5000  8 W 2.70
Ag 0.0000 0.5000 0.0000  8 W 2.70
Ag 0.5000 0.0000 0.0000  8 W 2.70
Ag 0.5000 0.5000 0.5000  8 W 2.70
W 0.2500 0.2500 0.2500  4 Co 2.70, 4 Ag 2.70
W 0.2500 0.2500 0.7500  4 Co 2.70, 4 Ag 2.70
W 0.2500 0.7500 0.2500  4 Co 2.70, 4 Ag 2.70
W 0.2500 0.7500 0.7500  4 Co 2.70, 4 Ag 2.70
W 0.7500 0.2500 0.2500  4 Co 2.70, 4 Ag 2.70
W 0.7500 0.2500 0.7500  4 Co 2.70, 4 Ag 2.70
W 0.7500 0.7500 0.2500  4 Co 2.70, 4 Ag 2.70
W 0.7500 0.7500 0.7500  4 Co 2.70, 4 Ag 2.70

magnetization = 7.1 Bohr magnetons per cell
Fermi-level density of states = 6.45 states/eV/f.u.

---

two:
Compound: CoAgW2
Source: the Alexandria database
Functional: PBE
Structure: optimized geometry

Lattice parameters (Å, degrees): 9.1027 2.7146 4.9469 90.00 99.73 90.00
Closest atoms and distances in Å follow each position.
Positions (direct):
Co 0.0000 0.0000 0.0000  4 W 2.56-2.78, 2 Co 2.71, 3 Ag 2.75-2.79
Co 0.5000 0.5000 0.0000  4 W 2.56-2.78, 2 Co 2.71, 3 Ag 2.75-2.79
Ag 0.2541 0.5000 0.2542  2 Ag 2.71, 7 W 2.73-2.91, 3 Co 2.75-2.79
Ag 0.7541 0.0000 0.2542  2 Ag 2.71, 7 W 2.73-2.91, 3 Co 2.75-2.79
W 0.0129 0.5000 0.5145  5 W 2.71-2.85, 3 Ag 2.73-2.83, 4 Co 2.78-2.87
W 0.2727 0.0000 0.7782  2 Co 2.56, 5 W 2.71-2.85, 2 Ag 2.75
W 0.5129 0.0000 0.5145  5 W 2.71-2.85, 3 Ag 2.73-2.83, 4 Co 2.78-2.87
W 0.7727 0.5000 0.7782  2 Co 2.56, 5 W 2.71-2.85, 2 Ag 2.75

magnetization = 0.0 Bohr magnetons per cell
Fermi-level density of states = 3.87 states/eV/f.u.

---

Pick two: it beats the second-best structure by 356 meV/atom.

---

one:
Compound: CoAgW2
Source: the Alexandria database
Functional: PBE
Structure: optimized geometry

Lattice parameters (Å, degrees): 3.0494 4.5988 8.7510 90.00 90.00 90.00
Closest atoms and distances in Å follow each position.
Positions (direct):
Co 0.0000 0.0000 0.0000  6 W 2.48-2.77, 2 Ag 2.66
Co 0.5000 0.5000 0.5000  6 W 2.48-2.77, 2 Ag 2.66
Ag 0.0000 0.5000 0.2510  2 Co 2.66, 6 W 2.77-2.90
Ag 0.5000 0.0000 0.7510  2 Co 2.66, 6 W 2.77-2.90
W 0.0000 0.0000 0.4692  2 W 2.63, 4 Co 2.77, 2 Ag 2.90
W 0.0000 0.5000 0.7239  2 Co 2.48, 2 W 2.63, 4 Ag 2.77
W 0.5000 0.0000 0.2239  2 Co 2.48, 2 W 2.63, 4 Ag 2.77
W 0.5000 0.5000 0.9692  2 W 2.63, 4 Co 2.77, 2 Ag 2.90

magnetization = 3.0 Bohr magnetons per cell
Fermi-level density of states = 3.49 states/eV/f.u.

---

two:
Compound: CoAgW2
Source: the Alexandria database
Functional: PBE
Structure: optimized geometry

Lattice parameters (Å, degrees): 3.7825 3.8697 8.1663 90.00 90.00 90.00
Closest atoms and distances in Å follow each position.
Positions (direct):
Co 0.0000 0.0000 0.0000  8 W 2.61-2.64, 4 Co 2.71
Co 0.5000 0.5000 0.0000  8 W 2.61-2.64, 4 Co 2.71
Ag 0.0000 0.0000 0.5000  4 Ag 2.71, 8 W 2.97-3.00
Ag 0.5000 0.5000 0.5000  4 Ag 2.71, 8 W 2.97-3.00
W 0.0000 0.5000 0.2200  4 Co 2.61-2.64, 4 W 2.71
W 0.0000 0.5000 0.7800  4 Co 2.61-2.64, 4 W 2.71
W 0.5000 0.0000 0.2200  4 Co 2.61-2.64, 4 W 2.71
W 0.5000 0.0000 0.7800  4 Co 2.61-2.64, 4 W 2.71

magnetization = 0.9 Bohr magnetons per cell
Fermi-level density of states = 4.46 states/eV/f.u.

---

Pick two: it beats the second-best structure by 215 meV/atom.

---

one:
Compound: CoAgW
Source: the Alexandria database
Functional: PBE
Structure: optimized geometry

Lattice parameters (Å, degrees): 2.7603 2.7603 6.8235 90.00 90.00 120.00
Closest atoms and distances in Å follow each position.
Positions (direct):
Co 0.0000 0.0000 0.0000  3 W 2.53, 6 Co 2.76, 3 Ag 2.80
Ag 0.6667 0.3333 0.6631  6 Ag 2.76, 3 Co 2.80, 3 W 3.02
W 0.3333 0.6667 0.2877  3 Co 2.53, 6 W 2.76

magnetization = 0.3 Bohr magnetons per cell
Fermi-level density of states = 1.79 states/eV/f.u.

---

two:
Compound: CoAgW
Source: the Alexandria database
Functional: PBE
Structure: optimized geometry

Lattice parameters (Å, degrees): 2.7699 2.7699 11.5486 90.00 90.00 90.00
Closest atoms and distances in Å follow each position.
Positions (direct):
Co 0.0000 0.0000 0.0000  4 W 2.52, 4 Co 2.77, 4 Ag 2.77
Co 0.5000 0.5000 0.5000  4 W 2.52, 4 Co 2.77, 4 Ag 2.77
Ag 0.0000 0.0000 0.6701  4 Ag 2.77, 4 Co 2.77, 4 W 2.96
Ag 0.5000 0.5000 0.1701  4 Ag 2.77, 4 Co 2.77, 4 W 2.96
W 0.0000 0.0000 0.3624  4 Co 2.52, 4 W 2.77
W 0.5000 0.5000 0.8624  4 Co 2.52, 4 W 2.77

magnetization = 1.1 Bohr magnetons per cell
Fermi-level density of states = 3.07 states/eV/f.u.

---

three:
Compound: CoAgW
Source: the Alexandria database
Functional: PBE
Structure: optimized geometry

Lattice parameters (Å, degrees): 5.8128 5.8128 5.8128 90.00 90.00 90.00
Closest atoms and distances in Å follow each position.
Positions (direct):
Co 0.0000 0.0000 0.0000  4 Ag 2.52, 4 W 2.52
Co 0.0000 0.5000 0.5000  4 Ag 2.52, 4 W 2.52
Co 0.5000 0.0000 0.5000  4 Ag 2.52, 4 W 2.52
Co 0.5000 0.5000 0.0000  4 Ag 2.52, 4 W 2.52
Ag 0.2500 0.2500 0.7500  4 Co 2.52
Ag 0.2500 0.7500 0.2500  4 Co 2.52
Ag 0.7500 0.2500 0.2500  4 Co 2.52
Ag 0.7500 0.7500 0.7500  4 Co 2.52
W 0.2500 0.2500 0.2500  4 Co 2.52
W 0.2500 0.7500 0.7500  4 Co 2.52
W 0.7500 0.2500 0.7500  4 Co 2.52
W 0.7500 0.7500 0.2500  4 Co 2.52

magnetization = 4.5 Bohr magnetons per cell
Fermi-level density of states = 3.70 states/eV/f.u.

---

Pick two: it beats the second-best structure by 11 meV/atom.

---

one:
Compound: Co2AgW
Source: the Alexandria database
Functional: PBE
Structure: optimized geometry

Lattice parameters (Å, degrees): 2.7172 2.7172 26.5989 90.00 90.00 120.00
Closest atoms and distances in Å follow each position.
Positions (direct):
Co 0.0000 0.0000 0.0000  9 Co 2.44-2.72
Co 0.0000 0.0000 0.2632  9 Co 2.44-2.72, 3 W 2.65
Co 0.3333 0.6667 0.6667  9 Co 2.44-2.72
Co 0.3333 0.6667 0.9299  9 Co 2.44-2.72, 3 W 2.65
Co 0.6667 0.3333 0.3333  9 Co 2.44-2.72
Co 0.6667 0.3333 0.5965  9 Co 2.44-2.72, 3 W 2.65
Ag 0.0000 0.0000 0.7533  6 Ag 2.72, 3 Co 2.79, 3 W 3.00
Ag 0.3333 0.6667 0.4200  6 Ag 2.72, 3 Co 2.79, 3 W 3.00
Ag 0.6667 0.3333 0.0867  6 Ag 2.72, 3 Co 2.79, 3 W 3.00
W 0.0000 0.0000 0.5161  3 Co 2.65, 6 W 2.72
W 0.3333 0.6667 0.1827  3 Co 2.65, 6 W 2.72
W 0.6667 0.3333 0.8494  3 Co 2.65, 6 W 2.72

magnetization = 8.9 Bohr magnetons per cell
Fermi-level density of states = 4.12 states/eV/f.u.

---

two:
Compound: Co2AgW
Source: the Alexandria database
Functional: PBE
Structure: optimized geometry

Lattice parameters (Å, degrees): 5.5826 7.1644 2.7079 90.00 90.00 90.00
Closest atoms and distances in Å follow each position.
Positions (direct):
Co 0.2500 0.2500 0.0000  4 Ag 2.64, 4 W 2.64, 4 Co 2.71-2.79
Co 0.2500 0.7500 0.0000  4 W 2.64, 4 Ag 2.64, 4 Co 2.71-2.79
Co 0.7500 0.2500 0.0000  4 W 2.64, 4 Ag 2.64, 4 Co 2.71-2.79
Co 0.7500 0.7500 0.0000  4 Ag 2.64, 4 W 2.64, 4 Co 2.71-2.79
Ag 0.0000 0.0000 0.5000  8 Co 2.64, 2 Ag 2.71, 2 W 2.79
Ag 0.5000 0.5000 0.5000  8 Co 2.64, 2 Ag 2.71, 2 W 2.79
W 0.0000 0.5000 0.5000  8 Co 2.64, 2 W 2.71, 2 Ag 2.79
W 0.5000 0.0000 0.5000  8 Co 2.64, 2 W 2.71, 2 Ag 2.79

magnetization = 2.4 Bohr magnetons per cell
Fermi-level density of states = 5.02 states/eV/f.u.

---

Pick one: it beats the second-best structure by 36 meV/atom.